A relaxed Li2Mn3CuO8 crystal. Source: Alexandria via LeMat-Bulk, functional GGA+U.

Results
The space group is Cc. The total energy is -179.60 eV for the cell shown.

Structure (POSCAR):
```
Li2Mn3CuO8
1.0
5.006 2.926 0.039
-5.006 2.926 0.039
0.000 0.578 9.683
Cu Li Mn O
2 4 6 16
Direct
0.664 0.334 0.009 Cu
0.334 0.664 0.509 Cu
0.963 0.980 0.005 Li
0.980 0.963 0.505 Li
0.356 0.676 0.108 Li
0.676 0.356 0.608 Li
0.160 0.346 0.784 Mn
0.652 0.844 0.786 Mn
0.346 0.160 0.284 Mn
0.846 0.163 0.286 Mn
0.844 0.652 0.286 Mn
0.163 0.846 0.786 Mn
0.998 0.490 0.179 O
0.542 0.486 0.165 O
0.000 0.022 0.688 O
0.160 0.822 0.395 O
0.044 0.544 0.664 O
0.675 0.819 0.393 O
0.287 0.153 0.892 O
0.819 0.675 0.893 O
0.662 0.313 0.391 O
0.490 0.998 0.679 O
0.544 0.044 0.164 O
0.313 0.662 0.891 O
0.022 0.000 0.188 O
0.822 0.160 0.895 O
0.153 0.287 0.392 O
0.486 0.542 0.665 O
```